Below is crystalline TbHo2Zn at its relaxed geometry, with properties calculated at the PBE level.

```
TbHo2Zn
1.0
1.7906 1.0338 10.1806
-1.7906 1.0338 10.1806
0.0000 -2.0676 10.1806
Tb Ho Zn
1 2 1
direct
0.0000 0.0000 0.0000
0.5718 0.5718 0.5718
0.7609 0.7609 0.7609
0.1659 0.1659 0.1659
```

Computed properties:
DOS(E_F) ... 5.30 states/eV/f.u.
Energy above the most stable polymorph in this dataset ... 104 meV per atom
Space group ... R3m, No. 160
Size of the total moment ... 0.01 Bohr magnetons per cell
Mass density ... 8.14 g/cm³